Compound: BaSn2Ge
Source: Alexandria
Functional: PBE-GGA
Structure: relaxed

abc: 5.1443 10.5119 18.6798
angles: 90.00 90.00 90.00
Space group Immm (No. 71)
One atom of each set of equivalent atoms:
Ba 0.0000 0.0000 0.2057 [4 per cell]
Ba 0.0000 0.2408 0.0000 [4 per cell]
Sn 0.0000 0.0000 0.4194 [4 per cell]
Sn 0.0000 0.3500 0.1921 [8 per cell]
Sn 0.0000 0.5000 0.4226 [4 per cell]
Ge 0.0000 0.2555 0.3531 [8 per cell]

Calculated values
As for the formation energy: -0.34 eV per atom. The value obtained for the density of states at the Fermi level is 0.526 states/eV per atom.